(1)
Material: Sr2PBr
Method: DFT, GGA-PBE
State: relaxed

abc: 6.907 6.907 14.252
angles: 90.00 90.00 90.00
Space group I-42d (No. 122)
Symmetry-distinct sites (fractional):
Sr: 0.212 0.250 0.125 [8 per cell]
P: 0.000 0.000 0.000 [4 per cell]
Br: 0.000 0.000 0.500 [4 per cell]

Results
- ΔE_f (raw) (eV per atom) = -1.28
- DOS(E_F) (states/eV/cell) = 0.000

***

(2)
Material: Sr3PBr3
Method: DFT, GGA-PBE
State: relaxed

abc: 8.717 9.115 13.008
angles: 90.00 90.00 90.00
Space group Imma (No. 74)
Symmetry-distinct sites (fractional):
Sr: 0.000 0.250 0.011 [4 per cell]
Sr: 0.250 0.034 0.250 [8 per cell]
P: 0.000 0.250 0.233 [4 per cell]
Br: 0.000 0.250 0.764 [4 per cell]
Br: 0.243 0.000 0.000 [8 per cell]

Results
- ΔE_f (raw) (eV per atom) = -1.75
- DOS(E_F) (states/eV/cell) = 0.000

***

(3)
Material: Sr2P2Br
Method: DFT, GGA-PBE
State: relaxed

abc: 4.089 4.089 16.840
angles: 90.00 90.00 90.00
Space group I4/mmm (No. 139)
Symmetry-distinct sites (fractional):
Sr: 0.000 0.000 0.125 [4 per cell]
P: 0.000 0.500 0.250 [4 per cell]
Br: 0.000 0.000 0.500 [2 per cell]

Results
- ΔE_f (raw) (eV per atom) = -0.93
- DOS(E_F) (states/eV/cell) = 3.000

***

(4)
Material: Sr2PBr
Method: DFT, GGA-PBE
State: relaxed

abc: 3.842 5.380 5.392
angles: 90.00 90.00 90.00
Space group Pmmm (No. 47)
Symmetry-distinct sites (fractional):
Sr: 0.000 0.000 0.000 [1 per cell]
Sr: 0.000 0.500 0.500 [1 per cell]
P: 0.500 0.000 0.500 [1 per cell]
Br: 0.500 0.500 0.000 [1 per cell]

Results
- ΔE_f (raw) (eV per atom) = -1.22
- DOS(E_F) (states/eV/cell) = 0.703

***

(5)
Material: SrPBr6
Method: DFT, GGA-PBE
State: relaxed

abc: 6.8411 6.8411 18.9838
angles: 90.00 90.00 120.00
Space group R-3 (No. 148, hexagonal axes)
Symmetry-distinct sites (fractional):
Sr: 0.0000 0.0000 0.0000 [3 per cell]
P: 0.0000 0.0000 0.5000 [3 per cell]
Br: 0.0151 0.6252 0.0916 [18 per cell]

Results
- ΔE_f (raw) (eV per atom) = -0.79
- DOS(E_F) (states/eV/cell) = 18.699

***

(6)
Material: Sr4P2Br5
Method: DFT, GGA-PBE
State: relaxed

abc: 23.497 4.304 8.674
angles: 90.00 92.27 90.00
Space group C2/m (No. 12)
Symmetry-distinct sites (fractional):
Sr: 0.014 0.000 0.233 [4 per cell]
Sr: 0.171 0.500 0.085 [4 per cell]
P: 0.045 0.500 0.975 [4 per cell]
Br: 0.000 0.500 0.500 [2 per cell]
Br: 0.143 0.000 0.319 [4 per cell]
Br: 0.199 0.000 0.848 [4 per cell]

Results
- ΔE_f (raw) (eV per atom) = -1.67
- DOS(E_F) (states/eV/cell) = 7.898

***

The following VASP energy values (in eV/atom) correspond, in order, to the records above: -3.8871, -3.9631, -4.0978, -3.8290, -2.9269, -4.0286.
The following M_tot values (in μB/f.u.) correspond, in order, to the records above: 0.00, 0.00, 0.00, 0.00, 0.01, 0.27.
The following volume values (in Å³/atom) correspond, in order, to the records above: 42.50, 36.91, 28.16, 27.86, 32.06, 39.84.